# 1
Material: Dy5YIn2
Method: DFT, PBE
State: optimized geometry

## Properties
The calculation puts the total energy at -4.638 eV per atom. The formation energy is -0.269 eV per atom.

Lattice parameters (Å, degrees): 4.8284 6.8597 13.7214 90.00 90.00 90.00
With the nearest neighbours (Å) after each atom.
Fractional positions:
1 Dy 0.5000 0.2479 0.8745  6 Dy 3.41-3.43, 4 In 3.43, 2 Y 3.43
2 Dy 0.0000 0.9975 0.7511  7 Dy 3.41-3.43, 4 In 3.41-3.43, 1 Y 3.45
3 Dy 0.0000 0.0000 0.0000  6 Dy 3.41-3.42, 4 In 3.43, 2 Y 3.43
4 Dy 0.5000 0.7479 0.6255  6 Dy 3.41-3.43, 4 In 3.43, 2 Y 3.43
5 Dy 0.5000 0.2521 0.3745  6 Dy 3.41-3.43, 4 In 3.43, 2 Y 3.43
6 Dy 0.5000 0.7521 0.1255  6 Dy 3.41-3.43, 4 In 3.43, 2 Y 3.43
7 Dy 0.0000 0.0025 0.2489  7 Dy 3.41-3.43, 4 In 3.41-3.43, 1 Y 3.45
8 Dy 0.0000 0.5025 0.2511  7 Dy 3.41-3.43, 4 In 3.41-3.43, 1 Y 3.45
9 Dy 0.0000 0.4975 0.7489  7 Dy 3.41-3.43, 4 In 3.41-3.43, 1 Y 3.45
10 Dy 0.0000 0.5000 0.5000  6 Dy 3.41-3.42, 4 In 3.43, 2 Y 3.43
11 In 0.5000 0.7483 0.8753  2 Y 3.41, 10 Dy 3.41-3.43
12 In 0.5000 0.7517 0.3753  2 Y 3.41, 10 Dy 3.41-3.43
13 In 0.5000 0.2517 0.1247  2 Y 3.41, 10 Dy 3.41-3.43
14 In 0.5000 0.2483 0.6247  2 Y 3.41, 10 Dy 3.41-3.43
15 Y 0.0000 0.0000 0.5000  4 In 3.41, 8 Dy 3.43-3.45
16 Y 0.0000 0.5000 0.0000  4 In 3.41, 8 Dy 3.43-3.45



# 2
Material: TmB2IrRu
Method: DFT, PBE
State: optimized geometry

## Properties
The calculation puts the total energy at -7.812 eV per atom. The formation energy is -0.619 eV per atom.

Lattice parameters (Å, degrees): 3.9100 3.9100 5.3582 111.40 111.40 90.00
With the nearest neighbours (Å) after each atom.
Fractional positions:
1 Tm 0.0000 0.0000 0.0000  4 Ir 3.01, 4 Ru 3.01, 10 B 3.10-3.18
2 Ru 0.2500 0.7500 0.5000  4 B 2.15
3 B 0.3464 0.3464 0.6928  2 Ru 2.15, 2 Ir 2.15
4 B 0.6536 0.6536 0.3072  2 Ru 2.15, 2 Ir 2.15
5 Ir 0.7500 0.2500 0.5000  4 B 2.15



# 3
Material: LaYCl3
Method: DFT, PBE
State: optimized geometry

## Properties
The calculation puts the total energy at -4.633 eV per atom.

Lattice parameters (Å, degrees): 5.2557 5.2557 5.2557 90.00 90.00 90.00
With the nearest neighbours (Å) after each atom.
Fractional positions:
1 Cl 0.0000 0.5000 0.0000  2 Y 2.63
2 Cl 0.0000 0.0000 0.5000  2 Y 2.63
3 Cl 0.5000 0.0000 0.0000  2 Y 2.63
4 La 0.5000 0.5000 0.5000  12 Cl 3.72
5 Y 0.0000 0.0000 0.0000  6 Cl 2.63



# 4
Material: Pr2PdCl
Method: DFT, PBE
State: optimized geometry

## Properties
The calculation puts the total energy at -5.111 eV per atom.

Lattice parameters (Å, degrees): 3.4640 3.4640 8.2540 90.00 90.00 90.00
With the nearest neighbours (Å) after each atom.
Fractional positions:
1 Pd 0.5000 0.5000 0.0000  8 Pr 3.10, 4 Pd 3.46
2 Pr 0.0000 0.0000 0.2311  4 Pd 3.10, 4 Cl 3.31, 4 Pr 3.46
3 Pr 0.0000 0.0000 0.7689  4 Pd 3.10, 4 Cl 3.31, 4 Pr 3.46
4 Cl 0.5000 0.5000 0.5000  8 Pr 3.31, 4 Cl 3.46



# 5
Material: Sm7Tl4H
Method: DFT, PBE
State: optimized geometry

## Properties
The calculation puts the total energy at -3.984 eV per atom.

Lattice parameters (Å, degrees): 5.0879 9.0709 8.7973 77.05 73.19 73.71
With the nearest neighbours (Å) after each atom.
Fractional positions:
1 Sm 0.9389 0.2620 0.8601  1 H 2.40
2 Sm 0.0611 0.7380 0.1399  1 H 2.40
3 Sm 0.6349 0.4375 0.2926  5 Tl 3.24-3.34
4 Sm 0.2169 0.1430 0.4232  4 Tl 3.17-3.21
5 Sm 0.3651 0.5625 0.7074  5 Tl 3.24-3.34
6 Sm 0.7831 0.8570 0.5768  4 Tl 3.17-3.21
7 Sm 0.5000 0.0000 0.0000  2 H 2.54
8 Tl 0.5786 0.2085 0.6343  8 Sm 3.17-3.32
9 Tl 0.4214 0.7915 0.3657  8 Sm 3.17-3.32
10 Tl 0.2801 0.3610 0.0788  8 Sm 3.21-3.40
11 Tl 0.7199 0.6390 0.9212  8 Sm 3.21-3.40
12 H 0.0000 0.0000 0.0000  4 Sm 2.40-2.54



# 6
Material: EuZn2Hg
Method: DFT, PBE
State: optimized geometry

## Properties
The calculation puts the total energy at -3.461 eV per atom. The formation energy is -0.179 eV per atom.

Lattice parameters (Å, degrees): 4.5059 4.5761 4.5761 90.00 90.00 90.00
With the nearest neighbours (Å) after each atom.
Fractional positions:
1 Zn 0.0000 0.5000 0.0000  4 Eu 3.21, 4 Hg 3.21, 4 Zn 3.24
2 Zn 0.0000 0.0000 0.5000  4 Eu 3.21, 4 Hg 3.21, 4 Zn 3.24
3 Hg 0.5000 0.0000 0.0000  8 Zn 3.21, 4 Eu 3.24
4 Eu 0.5000 0.5000 0.5000  8 Zn 3.21, 4 Hg 3.24



# 7
Material: MgBr2Cl
Method: DFT, PBE
State: optimized geometry

## Properties
The calculation puts the total energy at -2.650 eV per atom.

Lattice parameters (Å, degrees): 6.4896 6.4896 5.8583 73.49 73.49 32.47
With the nearest neighbours (Å) after each atom.
Fractional positions:
1 Br 0.1126 0.1126 0.9327  2 Mg 2.75, 1 Br 2.98
2 Br 0.2348 0.2348 0.2992  2 Mg 2.81, 1 Br 2.98, 1 Cl 3.12
3 Cl 0.3953 0.3953 0.6202  2 Mg 2.47
4 Mg 0.7574 0.7574 0.6479  2 Cl 2.47, 2 Br 2.75



# 8
Material: NbCoSeBr2
Method: DFT, PBE
State: optimized geometry

## Properties
The calculation puts the total energy at -4.257 eV per atom.

Lattice parameters (Å, degrees): 4.7407 4.7407 4.8567 90.00 90.00 90.00
With the nearest neighbours (Å) after each atom.
Fractional positions:
1 Br 0.0000 0.5000 0.0000  2 Co 2.37
2 Br 0.5000 0.0000 0.0000  2 Co 2.37
3 Se 0.0000 0.0000 0.5000  2 Co 2.43
4 Nb 0.5000 0.5000 0.5000  4 Se 3.35, 8 Br 3.39
5 Co 0.0000 0.0000 0.0000  4 Br 2.37, 2 Se 2.43



# 9
Material: Ba4LiDy3Te8
Method: DFT, PBE
State: optimized geometry

## Properties
The calculation puts the total energy at -4.543 eV per atom.

Lattice parameters (Å, degrees): 9.2321 9.4005 9.2326 119.41 120.00 90.00
With the nearest neighbours (Å) after each atom.
Fractional positions:
1 Li 0.0000 0.5000 0.0000  6 Te 3.14
2 Te 0.7367 0.7124 0.9745  2 Dy 3.13, 1 Li 3.14, 3 Ba 3.47-3.48
3 Te 0.7385 0.7154 0.4769  3 Dy 3.14, 3 Ba 3.46
4 Te 0.7621 0.2876 0.5242  2 Dy 3.13, 1 Li 3.14, 3 Ba 3.47-3.48
5 Te 0.2378 0.7124 0.9745  2 Dy 3.13, 1 Li 3.14, 3 Ba 3.47-3.48
6 Te 0.2379 0.7124 0.4758  2 Dy 3.13, 1 Li 3.14, 3 Ba 3.47-3.48
7 Te 0.2633 0.2876 0.0255  2 Dy 3.13, 1 Li 3.14, 3 Ba 3.47-3.48
8 Te 0.7622 0.2876 0.0255  2 Dy 3.13, 1 Li 3.14, 3 Ba 3.47-3.48
9 Te 0.2615 0.2846 0.5231  3 Dy 3.14, 3 Ba 3.46
10 Dy 0.5000 0.5000 0.0000  6 Te 3.13-3.14
11 Dy 0.5000 0.5000 0.5000  6 Te 3.13-3.14
12 Dy 0.0000 0.5000 0.5000  6 Te 3.13-3.14
13 Ba 0.0000 0.0000 0.0000  6 Te 3.46-3.48
14 Ba 0.0000 0.0000 0.5000  6 Te 3.46-3.48
15 Ba 0.5000 0.0000 0.0000  6 Te 3.47
16 Ba 0.5000 0.0000 0.5000  6 Te 3.46-3.48



# 10
Material: Ti3AsO
Method: DFT, PBE
State: optimized geometry

## Properties
The calculation puts the total energy at -7.924 eV per atom.

Lattice parameters (Å, degrees): 3.9279 4.2658 8.2844 90.00 90.30 90.00
With the nearest neighbours (Å) after each atom.
Fractional positions:
1 Ti 0.4980 0.2500 0.3630  3 O 2.10-2.14
2 Ti 0.5020 0.7500 0.6370  3 O 2.10-2.14
3 Ti 0.9986 0.7500 0.3570  2 O 1.98
4 Ti 0.0014 0.2500 0.6430  2 O 1.98
5 Ti 0.5024 0.2500 0.8905  1 O 2.27
6 Ti 0.4976 0.7500 0.1095  1 O 2.27
7 As 0.0045 0.7500 0.8581  10 Ti 2.69-2.92
8 As 0.9955 0.2500 0.1419  10 Ti 2.69-2.92
9 O 0.4988 0.7500 0.3830  5 Ti 1.98-2.14
10 O 0.5012 0.2500 0.6170  5 Ti 1.98-2.14



# 11
Material: Nd12ZrIn3
Method: DFT, PBE
State: optimized geometry

## Properties
The calculation puts the total energy at -4.794 eV per atom. The formation energy is -0.171 eV per atom.

Lattice parameters (Å, degrees): 4.9761 4.9761 20.1936 90.00 90.00 90.00
With the nearest neighbours (Å) after each atom.
Fractional positions:
1 Nd 0.0000 0.5000 0.6246  4 In 3.51-3.54, 8 Nd 3.52-3.54
2 Nd 0.0000 0.5000 0.1244  8 Nd 3.52-3.57, 2 Zr 3.54, 2 In 3.60
3 Nd 0.0000 0.5000 0.8756  8 Nd 3.52-3.57, 2 Zr 3.54, 2 In 3.60
4 Nd 0.5000 0.0000 0.3754  4 In 3.51-3.54, 8 Nd 3.52-3.54
5 Nd 0.0000 0.5000 0.3754  4 In 3.51-3.54, 8 Nd 3.52-3.54
6 Nd 0.5000 0.5000 0.5000  4 In 3.52, 8 Nd 3.54
7 Nd 0.5000 0.0000 0.6246  4 In 3.51-3.54, 8 Nd 3.52-3.54
8 Nd 0.5000 0.0000 0.8756  8 Nd 3.52-3.57, 2 Zr 3.54, 2 In 3.60
9 Nd 0.5000 0.5000 0.0000  4 Zr 3.52, 8 Nd 3.54
10 Nd 0.5000 0.5000 0.7485  4 In 3.52, 8 Nd 3.53-3.57
11 Nd 0.5000 0.5000 0.2515  4 In 3.52, 8 Nd 3.53-3.57
12 Nd 0.5000 0.0000 0.1244  8 Nd 3.52-3.57, 2 Zr 3.54, 2 In 3.60
13 In 0.0000 0.0000 0.2531  12 Nd 3.51-3.60
14 In 0.0000 0.0000 0.7469  12 Nd 3.51-3.60
15 In 0.0000 0.0000 0.5000  12 Nd 3.52-3.54
16 Zr 0.0000 0.0000 0.0000  12 Nd 3.52-3.54



# 12
Material: Cs2K4Hg
Method: DFT, PBE
State: optimized geometry

## Properties
The calculation puts the total energy at -0.944 eV per atom. The formation energy is -0.030 eV per atom.

Lattice parameters (Å, degrees): 6.8781 6.8781 12.7969 74.41 74.41 90.00
With the nearest neighbours (Å) after each atom.
Fractional positions:
1 K 0.8530 0.8530 0.2940  1 Hg 3.48
2 K 0.5000 0.0000 0.0000  2 Hg 3.44
3 K 0.1470 0.1470 0.7060  1 Hg 3.48
4 K 0.0000 0.5000 0.0000  2 Hg 3.44
5 Hg 0.0000 0.0000 0.0000  6 K 3.44-3.48
6 Cs 0.6538 0.6538 0.6924  9 K 4.72-5.01
7 Cs 0.3462 0.3462 0.3076  9 K 4.72-5.01



# 13
Material: Ca2AcLa
Method: DFT, PBE
State: optimized geometry

## Properties
The calculation puts the total energy at -3.241 eV per atom. The formation energy is 0.019 eV per atom.

Lattice parameters (Å, degrees): 3.9008 3.9008 10.9730 90.00 90.00 90.00
With the nearest neighbours (Å) after each atom.
Fractional positions:
1 Ca 0.5000 0.5000 0.7504  8 Ca 3.90-3.93, 4 Ac 3.98
2 Ca 0.0000 0.0000 0.0052  4 La 3.90, 8 Ca 3.90-3.93
3 La 0.5000 0.5000 0.2561  4 Ac 3.75, 4 Ca 3.90, 4 La 3.90
4 Ac 0.0000 0.0000 0.4883  4 La 3.75, 4 Ac 3.90, 4 Ca 3.98



# 14
Material: MgGa3Ru
Method: DFT, PBE
State: optimized geometry

## Properties
The calculation puts the total energy at -4.006 eV per atom. The formation energy is -0.016 eV per atom.

Lattice parameters (Å, degrees): 4.8193 4.8193 4.8193 90.00 90.00 90.00
With the nearest neighbours (Å) after each atom.
Fractional positions:
1 Ga 0.0000 0.5000 0.0000  2 Ru 2.41
2 Ga 0.0000 0.0000 0.5000  2 Ru 2.41
3 Ga 0.5000 0.0000 0.0000  2 Ru 2.41
4 Mg 0.5000 0.5000 0.5000  12 Ga 3.41
5 Ru 0.0000 0.0000 0.0000  6 Ga 2.41



# 15
Material: Nd5Au2
Method: DFT, PBE
State: optimized geometry

## Properties
The calculation puts the total energy at -4.781 eV per atom. The formation energy is -0.439 eV per atom.

Lattice parameters (Å, degrees): 7.0170 7.2068 9.3842 95.09 111.95 90.00
With the nearest neighbours (Å) after each atom.
Fractional positions:
1 Au 0.5932 0.9366 0.7756  6 Nd 3.00-3.10
2 Au 0.4068 0.0634 0.2244  6 Nd 3.00-3.10
3 Au 0.8177 0.5634 0.2244  6 Nd 3.00-3.10
4 Au 0.1823 0.4366 0.7756  6 Nd 3.00-3.10
5 Nd 0.0222 0.0510 0.8149  2 Au 3.00-3.10
6 Nd 0.5560 0.2500 0.0000  4 Au 3.03-3.08
7 Nd 0.2121 0.7070 0.5539  3 Au 3.04-3.36
8 Nd 0.7927 0.5510 0.8149  2 Au 3.00-3.10
9 Nd 0.6582 0.7930 0.4461  3 Au 3.04-3.36
10 Nd 0.4440 0.7500 0.0000  4 Au 3.03-3.08
11 Nd 0.7879 0.2930 0.4461  3 Au 3.04-3.36
12 Nd 0.3418 0.2070 0.5539  3 Au 3.04-3.36
13 Nd 0.9778 0.9490 0.1851  2 Au 3.00-3.10
14 Nd 0.2073 0.4490 0.1851  2 Au 3.00-3.10



# 16
Material: CaCeZnNi
Method: DFT, PBE
State: optimized geometry

## Properties
The calculation puts the total energy at -3.888 eV per atom. The formation energy is -0.140 eV per atom.

Lattice parameters (Å, degrees): 4.9934 4.9934 4.9934 60.00 60.00 60.00
With the nearest neighbours (Å) after each atom.
Fractional positions:
1 Ce 0.0000 0.0000 0.0000  4 Zn 3.06, 4 Ni 3.06
2 Ni 0.2500 0.2500 0.2500  4 Ce 3.06, 4 Ca 3.06
3 Zn 0.7500 0.7500 0.7500  4 Ce 3.06, 4 Ca 3.06
4 Ca 0.5000 0.5000 0.5000  4 Ni 3.06, 4 Zn 3.06



# 17
Material: GaRePd3
Method: DFT, PBE
State: optimized geometry

## Properties
The calculation puts the total energy at -5.215 eV per atom. The formation energy is 0.996 eV per atom.

Lattice parameters (Å, degrees): 4.5757 4.5757 4.5757 90.00 90.00 90.00
With the nearest neighbours (Å) after each atom.
Fractional positions:
1 Pd 0.5000 0.0000 0.0000  2 Ga 2.29
2 Pd 0.0000 0.5000 0.0000  2 Ga 2.29
3 Pd 0.0000 0.0000 0.5000  2 Ga 2.29
4 Re 0.5000 0.5000 0.5000  12 Pd 3.24
5 Ga 0.0000 0.0000 0.0000  6 Pd 2.29



# 18
Material: Ba2Pd2Br
Method: DFT, PBE
State: optimized geometry

## Properties
The calculation puts the total energy at -4.041 eV per atom.

Lattice parameters (Å, degrees): 4.1386 4.1386 9.5103 77.43 77.43 90.00
With the nearest neighbours (Å) after each atom.
Fractional positions:
1 Br 0.0000 0.0000 0.0000  8 Ba 3.68
2 Ba 0.3765 0.3765 0.2470  4 Pd 3.09
3 Ba 0.6235 0.6235 0.7530  4 Pd 3.09
4 Pd 0.7500 0.2500 0.5000  4 Pd 2.93, 4 Ba 3.09
5 Pd 0.2500 0.7500 0.5000  4 Pd 2.93, 4 Ba 3.09



# 19
Material: ZrBiP2
Method: DFT, PBE
State: optimized geometry

## Properties
The calculation puts the total energy at -5.925 eV per atom. The formation energy is -0.113 eV per atom.

Lattice parameters (Å, degrees): 6.2795 6.2795 7.4021 64.90 64.90 90.00
With the nearest neighbours (Å) after each atom.
Fractional positions:
1 Zr 0.5000 0.5000 0.0000  4 P 2.54
2 Zr 0.2500 0.7500 0.5000  4 P 2.54
3 P 0.8750 0.8391 0.7500  2 Zr 2.54, 2 Bi 2.81
4 P 0.5891 0.1250 0.2500  2 Zr 2.54, 2 Bi 2.81
5 P 0.1609 0.6250 0.2500  2 Zr 2.54, 2 Bi 2.81
6 P 0.3750 0.4109 0.7500  2 Zr 2.54, 2 Bi 2.81
7 Bi 0.0000 0.0000 0.0000  4 P 2.81
8 Bi 0.7500 0.2500 0.5000  4 P 2.81



# 20
Material: ThAgTe3Pd
Method: DFT, PBE
State: optimized geometry

## Properties
The calculation puts the total energy at -4.792 eV per atom.

Lattice parameters (Å, degrees): 4.3721 8.4120 9.2128 94.47 90.00 90.00
With the nearest neighbours (Å) after each atom.
Fractional positions:
1 Te 0.7500 0.3897 0.1486  3 Ag 2.92-2.96, 2 Th 3.21
2 Te 0.2500 0.6103 0.8514  3 Ag 2.92-2.96, 2 Th 3.21
3 Te 0.2500 0.1064 0.8740  1 Pd 2.80
4 Te 0.7500 0.8936 0.1260  1 Pd 2.80
5 Te 0.7500 0.2584 0.5219  3 Pd 2.73-2.87, 1 Ag 2.93
6 Te 0.2500 0.7416 0.4781  3 Pd 2.73-2.87, 1 Ag 2.93
7 Th 0.2500 0.1426 0.2503  3 Pd 3.04-3.37, 4 Te 3.18-3.21
8 Th 0.7500 0.8574 0.7497  3 Pd 3.04-3.37, 4 Te 3.18-3.21
9 Pd 0.2500 0.0754 0.5695  4 Te 2.73-2.87, 2 Pd 2.79, 1 Th 3.04
10 Pd 0.7500 0.9246 0.4305  4 Te 2.73-2.87, 2 Pd 2.79, 1 Th 3.04
11 Ag 0.2500 0.6275 0.1695  6 Te 2.92-3.18
12 Ag 0.7500 0.3725 0.8305  6 Te 2.92-3.18